1.
Compound: TbBiPt
Source: OQMD via LeMat-Bulk
Functional: PBE
Structure: optimized geometry

The structure in extended XYZ format:
```
9
Lattice="7.673 0.000 0.000 -3.836 6.645 0.000 0.000 0.000 4.202" Properties=species:S:1:pos:R:3 pbc="T T T"
Tb -2.320 4.019 0.000
Tb 1.516 2.626 0.000
Tb 4.641 0.000 0.000
Bi -1.032 1.788 2.101
Bi 2.065 0.000 2.101
Bi 2.804 4.857 2.101
Pt 0.000 0.000 0.000
Pt 0.000 4.430 2.101
Pt 3.836 2.215 2.101
```

Values from the calculation:
- Space-group type: P-62m
- Uncorrected energy: -5.776 eV/atom


2.
Compound: TbBiPt
Source: OQMD via LeMat-Bulk
Functional: PBE
Structure: optimized geometry

The structure in extended XYZ format:
```
9
Lattice="8.395 0.000 0.000 -4.198 7.270 0.000 0.000 0.000 3.537" Properties=species:S:1:pos:R:3 pbc="T T T"
Tb -1.252 2.168 0.000
Tb 2.503 0.000 0.000
Tb 2.946 5.102 0.000
Bi 0.000 0.000 1.768
Bi 0.000 4.847 0.000
Bi 4.198 2.423 0.000
Pt -2.730 4.729 1.768
Pt 1.467 2.541 1.768
Pt 5.461 0.000 1.768
```

Values from the calculation:
- Space-group type: P-62m
- Uncorrected energy: -5.344 eV/atom


3.
Compound: TcBiPt2
Source: OQMD via LeMat-Bulk
Functional: PBE
Structure: optimized geometry

The structure in extended XYZ format:
```
16
Lattice="6.565 0.000 0.000 0.000 6.565 0.000 0.000 0.000 6.565" Properties=species:S:1:pos:R:3 pbc="T T T"
Tc 0.000 0.000 0.000
Tc 0.000 3.282 3.282
Tc 3.282 0.000 3.282
Tc 3.282 3.282 0.000
Bi 1.641 1.641 4.924
Bi 1.641 4.924 1.641
Bi 4.924 1.641 1.641
Bi 4.924 4.924 4.924
Pt 0.000 0.000 3.282
Pt 0.000 3.282 0.000
Pt 1.641 1.641 1.641
Pt 1.641 4.924 4.924
Pt 3.282 0.000 0.000
Pt 3.282 3.282 3.282
Pt 4.924 1.641 4.924
Pt 4.924 4.924 1.641
```

Values from the calculation:
- Space-group type: F-43m
- Uncorrected energy: -6.333 eV/atom


4.
Compound: Tc2BiPt
Source: OQMD via LeMat-Bulk
Functional: PBE
Structure: optimized geometry

The structure in extended XYZ format:
```
16
Lattice="6.548 0.000 0.000 0.000 6.548 0.000 0.000 0.000 6.548" Properties=species:S:1:pos:R:3 pbc="T T T"
Tc 0.000 0.000 0.000
Tc 0.000 3.274 3.274
Tc 1.637 1.637 1.637
Tc 1.637 4.911 4.911
Tc 3.274 0.000 3.274
Tc 3.274 3.274 0.000
Tc 4.911 1.637 4.911
Tc 4.911 4.911 1.637
Bi 0.000 0.000 3.274
Bi 0.000 3.274 0.000
Bi 3.274 0.000 0.000
Bi 3.274 3.274 3.274
Pt 1.637 1.637 4.911
Pt 1.637 4.911 1.637
Pt 4.911 1.637 1.637
Pt 4.911 4.911 4.911
```

Values from the calculation:
- Space-group type: F-43m
- Uncorrected energy: -7.098 eV/atom


5.
Compound: TlBiPt
Source: OQMD via LeMat-Bulk
Functional: PBE
Structure: optimized geometry

The structure in extended XYZ format:
```
12
Lattice="6.775 0.000 0.000 0.000 6.775 0.000 0.000 0.000 6.775" Properties=species:S:1:pos:R:3 pbc="T T T"
Tl 0.000 0.000 0.000
Tl 0.000 3.388 3.388
Tl 3.388 0.000 3.388
Tl 3.388 3.388 0.000
Bi 0.000 0.000 3.388
Bi 0.000 3.388 0.000
Bi 3.388 0.000 0.000
Bi 3.388 3.388 3.388
Pt 1.694 1.694 5.082
Pt 1.694 5.082 1.694
Pt 5.082 1.694 1.694
Pt 5.082 5.082 5.082
```

Values from the calculation:
- Space-group type: F-43m
- Energy above the most stable polymorph in this dataset: 0 meV/atom
- Uncorrected energy: -4.284 eV/atom


6.
Compound: TlBiPt2
Source: OQMD via LeMat-Bulk
Functional: PBE
Structure: optimized geometry

The structure in extended XYZ format:
```
4
Lattice="4.340 0.000 0.000 -2.170 3.758 0.000 0.000 0.000 5.555" Properties=species:S:1:pos:R:3 pbc="T T T"
Tl 0.000 0.000 0.000
Bi 0.000 2.506 2.778
Pt 2.170 1.253 1.379
Pt 2.170 1.253 4.176
```

Values from the calculation:
- Space-group type: P-6m2
- Uncorrected energy: -4.834 eV/atom